[1]
A plane-wave DFT calculation with PBE was carried out for a geometry-optimized Al2ZnCo structure.

Summary:
ΔH_f (0 K)   -0.58 eV/f.u.
Density   5.4 g cm⁻³

CIF file:
```
data_Al2ZnCo
_cell_length_a 4.483
_cell_length_b 4.483
_cell_length_c 4.659
_cell_angle_alpha 100.76
_cell_angle_beta 100.76
_cell_angle_gamma 36.47
_space_group_name_H-M_alt 'P 1'
_space_group_IT_number 1
loop_
_space_group_symop_operation_xyz
'x,y,z'
loop_
_atom_site_label
_atom_site_type_symbol
_atom_site_fract_x
_atom_site_fract_y
_atom_site_fract_z
Al1 Al 0.236 0.236 0.229
Al2 Al 0.764 0.764 0.771
Zn1 Zn 0.000 0.000 0.500
Co1 Co 0.500 0.500 0.000
```



[2]
A plane-wave DFT calculation with PBE was carried out for a geometry-optimized MnBiI3 structure.

Summary:
Relative energy among the computed polymorphs   0.0000 eV per atom
Density   6.1 g cm⁻³
Formation energy (no corrections)   130.0 meV/atom

CIF file:
```
data_MnBiI3
_cell_length_a 5.593
_cell_length_b 5.593
_cell_length_c 5.593
_cell_angle_alpha 90.00
_cell_angle_beta 90.00
_cell_angle_gamma 90.00
_space_group_name_H-M_alt 'P 1'
_space_group_IT_number 1
loop_
_space_group_symop_operation_xyz
'x,y,z'
loop_
_atom_site_label
_atom_site_type_symbol
_atom_site_fract_x
_atom_site_fract_y
_atom_site_fract_z
Mn1 Mn 0.000 0.000 0.000
Bi1 Bi 0.500 0.500 0.500
I1 I 0.000 0.000 0.500
I2 I 0.000 0.500 0.000
I3 I 0.500 0.000 0.000
```